Entry i
Density functional theory data (PBE) for crystalline AgAsPdSe2 at its relaxed geometry.

Output
- symmetry = P4/mmm
- magnetic moment (μB per formula unit) = 0.00
- calculated volume (A^3/atom) = 24.624

Cell lengths 5.1352, 5.1352, 4.6689 Å; angles 90.00, 90.00, 90.00 degrees
With the nearest neighbours (Å) after each atom.
Atoms (fractional coordinates):
Ag 0.0000 0.0000 0.0000  8 Se 3.47, 4 As 3.63
As 0.5000 0.5000 0.0000  2 Pd 2.33
Pd 0.5000 0.5000 0.5000  2 As 2.33, 4 Se 2.57
Se 0.0000 0.5000 0.5000  2 Pd 2.57
Se 0.5000 0.0000 0.5000  2 Pd 2.57


Entry ii
Density functional theory data (PBE) for crystalline AgAsPdSe2 at its relaxed geometry.

Output
- symmetry = P4/mmm
- magnetic moment (μB per formula unit) = 0.00
- calculated volume (A^3/atom) = 25.173

Cell lengths 5.0554, 5.0554, 4.9248 Å; angles 90.00, 90.00, 90.00 degrees
With the nearest neighbours (Å) after each atom.
Atoms (fractional coordinates):
Ag 0.0000 0.0000 0.0000  2 As 2.46, 4 Se 2.53
As 0.0000 0.0000 0.5000  2 Ag 2.46
Pd 0.5000 0.5000 0.5000  8 Se 3.53, 4 As 3.57
Se 0.0000 0.5000 0.0000  2 Ag 2.53
Se 0.5000 0.0000 0.0000  2 Ag 2.53


Relative energy table, unit kJ/mol of atoms: entry i 0.0; entry ii 43.1


Entry i
Density functional theory data (PBE) for crystalline AgAs2PdSe at its relaxed geometry.

Output
- symmetry = P4/mmm
- magnetic moment (μB per formula unit) = 0.21
- calculated volume (A^3/atom) = 24.169

Cell lengths 4.8059, 4.8059, 5.2322 Å; angles 90.00, 90.00, 90.00 degrees
With the nearest neighbours (Å) after each atom.
Atoms (fractional coordinates):
Ag 0.0000 0.0000 0.0000  4 Se 3.40, 8 As 3.55
As 0.0000 0.5000 0.5000  2 Pd 2.40
As 0.5000 0.0000 0.5000  2 Pd 2.40
Pd 0.5000 0.5000 0.5000  4 As 2.40, 2 Se 2.62
Se 0.5000 0.5000 0.0000  2 Pd 2.62


Entry ii
Density functional theory data (PBE) for crystalline AgAs2PdSe at its relaxed geometry.

Output
- symmetry = P4/mmm
- magnetic moment (μB per formula unit) = 0.00
- calculated volume (A^3/atom) = 24.232

Cell lengths 5.0879, 5.0879, 4.6804 Å; angles 90.00, 90.00, 90.00 degrees
With the nearest neighbours (Å) after each atom.
Atoms (fractional coordinates):
Ag 0.0000 0.0000 0.0000  8 As 3.46, 4 Pd 3.60
As 0.0000 0.5000 0.5000  2 Se 2.54
As 0.5000 0.0000 0.5000  2 Se 2.54
Pd 0.5000 0.5000 0.0000  2 Se 2.34
Se 0.5000 0.5000 0.5000  2 Pd 2.34, 4 As 2.54


Relative energy table, unit kJ/mol of atoms: entry i 0.0; entry ii 17.1


Entry i
Density functional theory data (PBE) for crystalline PmAgAs at its relaxed geometry.

Output
- symmetry = C2/m
- magnetic moment (μB per formula unit) = 0.00
- calculated volume (A^3/atom) = 24.674

Cell lengths 5.5482, 5.5482, 6.8293 Å; angles 100.80, 100.80, 45.99 degrees
With the nearest neighbours (Å) after each atom.
Atoms (fractional coordinates):
Pm 0.1162 0.1162 0.2790  4 As 2.92-3.02, 2 Ag 3.24
Pm 0.8838 0.8838 0.7210  4 As 2.92-3.02, 2 Ag 3.24
Ag 0.3830 0.3830 0.0731  3 As 2.74-2.88, 1 Ag 2.77
Ag 0.6170 0.6170 0.9269  3 As 2.74-2.88, 1 Ag 2.77
As 0.1771 0.1771 0.7163  3 Ag 2.74-2.88, 4 Pm 2.92-3.02
As 0.8229 0.8229 0.2837  3 Ag 2.74-2.88, 4 Pm 2.92-3.02


Entry ii
Density functional theory data (PBE) for crystalline PmAgAs at its relaxed geometry.

Output
- symmetry = P3m1
- magnetic moment (μB per formula unit) = 0.00
- calculated volume (A^3/atom) = 22.917

Cell lengths 4.4158, 4.4158, 4.0714 Å; angles 90.00, 90.00, 120.00 degrees
With the nearest neighbours (Å) after each atom.
Atoms (fractional coordinates):
Pm 0.0000 0.0000 0.0000  6 As 3.26-3.27, 6 Ag 3.26-3.27
Ag 0.6667 0.3333 0.5019  3 As 2.55
As 0.3333 0.6667 0.4980  3 Ag 2.55


Entry iii
Density functional theory data (PBE) for crystalline PmAgAs at its relaxed geometry.

Output
- symmetry = I4mm
- magnetic moment (μB per formula unit) = 0.00
- calculated volume (A^3/atom) = 25.320

Cell lengths 8.3120, 8.3120, 8.3120 Å; angles 158.67, 158.67, 30.35 degrees
With the nearest neighbours (Å) after each atom.
Atoms (fractional coordinates):
Pm 0.0000 0.0000 0.0000  1 As 2.94, 4 Pm 3.08, 1 Ag 3.12
Ag 0.1946 0.1946 0.0000  4 As 2.93, 4 Ag 3.08, 1 Pm 3.12
As 0.8168 0.8168 0.0000  4 Ag 2.93, 1 Pm 2.94, 4 As 3.08


Relative energy table, unit kJ/mol of atoms: entry i 0.0; entry ii 5.5; entry iii 112.7